Below is an optimized crystal structure of AgPdI, with properties calculated at the PBE level.

**ΔE_f (raw)**: 0.07 eV/atom

Cell lengths 4.645, 4.660, 7.891 Å; angles 81.30, 81.56, 62.92 degrees
Sites, in units of the cell vectors:
Ag 0.202 0.201 0.093
Ag 0.798 0.799 0.907
Pd 0.478 0.478 0.803
Pd 0.522 0.522 0.197
I 0.142 0.141 0.707
I 0.858 0.859 0.293

Below is an optimized crystal structure of Sm5Pd4Ru, with properties calculated at the PBE level.

**ΔE_f**: -66.7 kJ/mol of atoms

Cell lengths 3.517, 3.517, 18.226 Å; angles 90.00, 90.00, 90.00 degrees
Sites, in units of the cell vectors:
Sm 0.000 0.000 0.000
Sm 0.000 0.000 0.203
Sm 0.000 0.000 0.406
Sm 0.000 0.000 0.594
Sm 0.000 0.000 0.797
Pd 0.500 0.500 0.100
Pd 0.500 0.500 0.300
Pd 0.500 0.500 0.700
Pd 0.500 0.500 0.900
Ru 0.500 0.500 0.500

Below is an optimized crystal structure of Ce8CoSn2, with properties calculated at the PBE level.

**ΔE_f**: -26.7 kJ/mol of atoms

Cell lengths 9.195, 9.195, 6.528 Å; angles 109.34, 109.34, 34.04 degrees
Sites, in units of the cell vectors:
Ce 0.003 0.003 0.217
Ce 0.216 0.216 0.216
Ce 0.354 0.354 0.079
Ce 0.415 0.415 0.613
Ce 0.585 0.585 0.387
Ce 0.646 0.646 0.921
Ce 0.784 0.784 0.784
Ce 0.997 0.997 0.783
Co 0.500 0.500 0.000
Sn 0.171 0.171 0.668
Sn 0.829 0.829 0.332

Below is an optimized crystal structure of ZnAgAu2, with properties calculated at the PBE level.

**ΔE_f**: -10.4 kJ/mol of atoms

Cell lengths 9.437, 3.728, 4.351 Å; angles 90.00, 116.10, 90.00 degrees
Sites, in units of the cell vectors:
Zn 0.000 0.000 0.000
Zn 0.500 0.500 0.000
Ag 0.000 0.500 0.500
Ag 0.500 0.000 0.500
Au 0.232 0.500 0.231
Au 0.268 0.000 0.769
Au 0.732 0.000 0.231
Au 0.768 0.500 0.769

Below is an optimized crystal structure of ZrCrReTc, with properties calculated at the PBE level.

**ΔE_f**: -4.8 kJ/mol of atoms

Cell lengths 6.279, 6.279, 6.279 Å; angles 90.00, 90.00, 90.00 degrees
Sites, in units of the cell vectors:
Zr 0.000 0.000 0.000
Zr 0.000 0.500 0.500
Zr 0.500 0.000 0.500
Zr 0.500 0.500 0.000
Cr 0.250 0.250 0.250
Cr 0.250 0.750 0.750
Cr 0.750 0.250 0.750
Cr 0.750 0.750 0.250
Re 0.000 0.000 0.500
Re 0.000 0.500 0.000
Re 0.500 0.000 0.000
Re 0.500 0.500 0.500
Tc 0.250 0.250 0.750
Tc 0.250 0.750 0.250
Tc 0.750 0.250 0.250
Tc 0.750 0.750 0.750

Below is an optimized crystal structure of EuZrPdPt, with properties calculated at the PBE level.

**ΔE_f**: -62.0 kJ/mol of atoms

Cell lengths 6.924, 6.924, 6.924 Å; angles 90.00, 90.00, 90.00 degrees
Sites, in units of the cell vectors:
Eu 0.000 0.000 0.000
Eu 0.000 0.500 0.500
Eu 0.500 0.000 0.500
Eu 0.500 0.500 0.000
Zr 0.000 0.000 0.500
Zr 0.000 0.500 0.000
Zr 0.500 0.000 0.000
Zr 0.500 0.500 0.500
Pd 0.250 0.250 0.250
Pd 0.250 0.750 0.750
Pd 0.750 0.250 0.750
Pd 0.750 0.750 0.250
Pt 0.250 0.250 0.750
Pt 0.250 0.750 0.250
Pt 0.750 0.250 0.250
Pt 0.750 0.750 0.750

| no. | DFT total energy (eV/atom) | total moment (μB/atom) |
| --- | --- | --- |
| 1 | -3.13 | 0.000 |
| 2 | -6.06 | 0.000 |
| 3 | -5.97 | 0.537 |
| 4 | -2.78 | 0.000 |
| 5 | -10.30 | 0.000 |
| 6 | -8.16 | 1.789 |